# 1
A relaxed structure of GaAg2Sn, computed with GGA-PBE.

Calculated values
- energy above the lowest structure with this stoichiometry (eV/atom) = 0.033
- formation energy (eV per formula unit) = 0.24
- size of the total moment (μB per atom) = 0.00
- energy (eV per atom) = -3.123
- symmetry = P4/mmm

Lattice parameters (Å, degrees): 3.4347 3.4347 6.9107 90.00 90.00 90.00
Closest atoms and distances in Å follow each position.
Fractional coordinates of all 4 atoms:
Ga  0.5000  0.5000  0.0000  8 Ag 2.86
Sn  0.5000  0.5000  0.5000  8 Ag 3.11, 4 Sn 3.43, 2 Ga 3.46
Ag  0.0000  0.0000  0.7803  4 Ga 2.86, 1 Ag 3.04, 4 Sn 3.11
Ag  0.0000  0.0000  0.2197  4 Ga 2.86, 1 Ag 3.04, 4 Sn 3.11



# 2
A relaxed structure of GaAg3Sn, computed with GGA-PBE.

Calculated values
- energy above the lowest structure with this stoichiometry (eV/atom) = 0.000
- formation energy (eV per formula unit) = 0.14
- size of the total moment (μB per atom) = 0.00
- energy (eV per atom) = -3.089
- symmetry = Pnma

Lattice parameters (Å, degrees): 4.3441 6.2644 14.4406 90.00 90.00 90.00
Closest atoms and distances in Å follow each position.
Fractional coordinates of all 20 atoms:
Ga  0.7500  0.7762  0.8974  8 Ag 2.77-2.94, 2 Sn 3.05
Ga  0.2500  0.2238  0.1026  8 Ag 2.77-2.94, 2 Sn 3.05
Ga  0.7500  0.2762  0.6026  8 Ag 2.77-2.94, 2 Sn 3.05
Ga  0.2500  0.7238  0.3974  8 Ag 2.77-2.94, 2 Sn 3.05
Ag  0.2500  0.5536  0.5779  3 Ga 2.80-2.82, 5 Ag 2.88-2.97, 1 Sn 2.96
Ag  0.7500  0.4464  0.4221  3 Ga 2.80-2.82, 5 Ag 2.88-2.97, 1 Sn 2.96
Ag  0.2500  0.0536  0.9221  3 Ga 2.80-2.82, 5 Ag 2.88-2.97, 1 Sn 2.96
Ag  0.7500  0.9464  0.0779  3 Ga 2.80-2.82, 5 Ag 2.88-2.97, 1 Sn 2.96
Ag  0.2500  0.6528  0.0198  6 Ag 2.88-3.04, 3 Ga 2.91-2.94, 3 Sn 2.99-3.20
Ag  0.7500  0.3472  0.9802  6 Ag 2.88-3.04, 3 Ga 2.91-2.94, 3 Sn 2.99-3.20
Ag  0.2500  0.1528  0.4802  6 Ag 2.88-3.04, 3 Ga 2.91-2.94, 3 Sn 2.99-3.20
Ag  0.7500  0.8472  0.5198  6 Ag 2.88-3.04, 3 Ga 2.91-2.94, 3 Sn 2.99-3.20
Ag  0.7500  0.6422  0.7105  2 Ga 2.77-2.83, 4 Sn 2.95-3.05, 3 Ag 2.95-3.04
Ag  0.2500  0.3578  0.2895  2 Ga 2.77-2.83, 4 Sn 2.95-3.05, 3 Ag 2.95-3.04
Ag  0.7500  0.1422  0.7895  2 Ga 2.77-2.83, 4 Sn 2.95-3.05, 3 Ag 2.95-3.04
Ag  0.2500  0.8578  0.2105  2 Ga 2.77-2.83, 4 Sn 2.95-3.05, 3 Ag 2.95-3.04
Sn  0.7500  0.5263  0.1725  8 Ag 2.95-3.20, 2 Ga 3.05
Sn  0.2500  0.4737  0.8275  8 Ag 2.95-3.20, 2 Ga 3.05
Sn  0.7500  0.0263  0.3275  8 Ag 2.95-3.20, 2 Ga 3.05
Sn  0.2500  0.9737  0.6725  8 Ag 2.95-3.20, 2 Ga 3.05



# 3
A relaxed structure of Ga3Ag8Sn2, computed with GGA-PBE.

Calculated values
- formation energy (eV per formula unit) = 0.74
- size of the total moment (μB per atom) = 0.00
- energy (eV per atom) = -3.012
- symmetry = C2/m

Lattice parameters (Å, degrees): 5.6331 7.4625 7.3725 120.40 100.67 90.00
Closest atoms and distances in Å follow each position.
Fractional coordinates of all 13 atoms:
Ga  0.5000  0.0000  0.0000  6 Ag 2.76-2.77
Ga  0.0000  0.1757  0.0000  1 Ga 2.62, 4 Ag 2.70-2.79
Ga  0.0000  0.8243  0.0000  1 Ga 2.62, 4 Ag 2.70-2.79
Ag  0.8784  0.5835  0.1669  6 Ag 2.76-3.04, 2 Ga 2.79, 1 Sn 2.80
Ag  0.1216  0.4165  0.8331  6 Ag 2.76-3.04, 2 Ga 2.79, 1 Sn 2.80
Ag  0.7399  0.2139  0.4279  1 Ga 2.77, 2 Sn 2.78-2.85, 5 Ag 2.98-3.02
Ag  0.2601  0.7861  0.5721  1 Ga 2.77, 2 Sn 2.78-2.85, 5 Ag 2.98-3.02
Ag  0.5715  0.5822  0.7812  2 Ga 2.70-2.76, 4 Ag 2.86-3.02, 2 Sn 2.97-3.00
Ag  0.5715  0.1990  0.7812  2 Ga 2.70-2.76, 4 Ag 2.86-3.02, 2 Sn 2.97-3.00
Ag  0.4285  0.8010  0.2188  2 Ga 2.70-2.76, 4 Ag 2.86-3.02, 2 Sn 2.97-3.00
Ag  0.4285  0.4178  0.2188  2 Ga 2.70-2.76, 4 Ag 2.86-3.02, 2 Sn 2.97-3.00
Sn  0.2323  0.2120  0.4239  7 Ag 2.78-3.00, 2 Ga 3.03
Sn  0.7677  0.7880  0.5761  7 Ag 2.78-3.00, 2 Ga 3.03



# 4
A relaxed structure of Ga3AgSn, computed with GGA-PBE.

Calculated values
- energy above the lowest structure with this stoichiometry (eV/atom) = 0.000
- formation energy (eV per formula unit) = 0.31
- size of the total moment (μB per atom) = 0.00
- energy (eV per atom) = -3.125
- symmetry = P2_1/m

Lattice parameters (Å, degrees): 5.4226 6.2480 7.5504 123.63 90.02 89.99
Closest atoms and distances in Å follow each position.
Fractional coordinates of all 10 atoms:
Ga  0.7501  0.5672  0.9167  1 Ga 2.71, 2 Ag 2.77, 3 Sn 2.92-3.03
Ga  0.2497  0.8481  0.6054  3 Ga 2.75-2.90, 2 Ag 2.91, 1 Sn 2.97
Ga  0.2499  0.4326  0.0831  1 Ga 2.71, 2 Ag 2.77, 3 Sn 2.92-3.03
Ga  0.7503  0.1522  0.3949  3 Ga 2.75-2.90, 2 Ag 2.91, 1 Sn 2.97
Ga  0.2503  0.9525  0.2965  4 Ga 2.71-2.90, 2 Ag 2.77, 1 Sn 2.92
Ga  0.7497  0.0472  0.7035  4 Ga 2.71-2.90, 2 Ag 2.77, 1 Sn 2.92
Ag  0.0000  0.0000  0.0001  2 Ag 2.71, 6 Ga 2.77-2.91
Ag  0.5000  0.0001  0.0001  2 Ag 2.71, 6 Ga 2.77-2.91
Sn  0.7500  0.5505  0.2960  5 Ga 2.92-3.03, 2 Ag 3.19
Sn  0.2500  0.4496  0.7038  5 Ga 2.92-3.03, 2 Ag 3.19



# 5
A relaxed structure of GaAg15Sn4, computed with GGA-PBE.

Calculated values
- formation energy (eV per formula unit) = 0.53
- size of the total moment (μB per atom) = 0.00
- energy (eV per atom) = -3.064
- symmetry = P4/mmm

Lattice parameters (Å, degrees): 4.2416 4.2416 21.2285 90.00 90.00 90.00
Closest atoms and distances in Å follow each position.
Fractional coordinates of all 20 atoms:
Ga  0.0000  0.0000  0.0000  12 Ag 2.91-3.00
Ag  0.5000  0.5000  0.0000  8 Ag 2.91, 4 Ga 3.00
Ag  0.5000  0.5000  0.1945  4 Sn 3.00, 8 Ag 3.01-3.03
Ag  0.5000  0.5000  0.3983  4 Sn 3.00, 8 Ag 3.03
Ag  0.5000  0.5000  0.6017  4 Sn 3.00, 8 Ag 3.03
Ag  0.5000  0.5000  0.8055  4 Sn 3.00, 8 Ag 3.01-3.03
Ag  0.5000  0.0000  0.0937  8 Ag 2.91-3.01, 2 Ga 2.91, 2 Sn 3.03
Ag  0.5000  0.0000  0.2964  8 Ag 3.00-3.03, 4 Sn 3.01-3.02
Ag  0.5000  0.0000  0.5000  8 Ag 3.00-3.03, 4 Sn 3.03
Ag  0.5000  0.0000  0.7036  8 Ag 3.00-3.03, 4 Sn 3.01-3.02
Ag  0.5000  0.0000  0.9063  8 Ag 2.91-3.01, 2 Ga 2.91, 2 Sn 3.03
Ag  0.0000  0.5000  0.0937  2 Ga 2.91, 8 Ag 2.91-3.01, 2 Sn 3.03
Ag  0.0000  0.5000  0.2964  8 Ag 3.00-3.03, 4 Sn 3.01-3.02
Ag  0.0000  0.5000  0.5000  8 Ag 3.00-3.03, 4 Sn 3.03
Ag  0.0000  0.5000  0.7036  8 Ag 3.00-3.03, 4 Sn 3.01-3.02
Ag  0.0000  0.5000  0.9063  2 Ga 2.91, 8 Ag 2.91-3.01, 2 Sn 3.03
Sn  0.0000  0.0000  0.1958  12 Ag 3.00-3.03
Sn  0.0000  0.0000  0.3979  12 Ag 3.00-3.03
Sn  0.0000  0.0000  0.6021  12 Ag 3.00-3.03
Sn  0.0000  0.0000  0.8042  12 Ag 3.00-3.03



# 6
A relaxed structure of Ga12Ag6Sn, computed with GGA-PBE.

Calculated values
- formation energy (eV per formula unit) = 0.55
- size of the total moment (μB per atom) = 0.00
- energy (eV per atom) = -2.994
- symmetry = R-3m

Lattice parameters (Å, degrees): 7.6491 7.6491 7.6491 107.09 107.09 107.09
Closest atoms and distances in Å follow each position.
Fractional coordinates of all 19 atoms:
Ga  0.8815  0.1185  0.5000  5 Ga 2.76-3.02, 4 Ag 2.78-2.79
Ga  0.9121  0.6555  0.6555  2 Ga 2.76, 4 Ag 2.79-2.93, 1 Sn 2.86
Ga  0.6555  0.6555  0.9121  2 Ga 2.76, 4 Ag 2.79-2.93, 1 Sn 2.86
Ga  0.3445  0.0879  0.3445  2 Ga 2.76, 4 Ag 2.79-2.93, 1 Sn 2.86
Ga  0.3445  0.3445  0.0879  2 Ga 2.76, 4 Ag 2.79-2.93, 1 Sn 2.86
Ga  0.0879  0.3445  0.3445  2 Ga 2.76, 4 Ag 2.79-2.93, 1 Sn 2.86
Ga  0.1185  0.5000  0.8815  5 Ga 2.76-3.02, 4 Ag 2.78-2.79
Ga  0.5000  0.8815  0.1185  5 Ga 2.76-3.02, 4 Ag 2.78-2.79
Ga  0.1185  0.8815  0.5000  5 Ga 2.76-3.02, 4 Ag 2.78-2.79
Ga  0.8815  0.5000  0.1185  5 Ga 2.76-3.02, 4 Ag 2.78-2.79
Ga  0.5000  0.1185  0.8815  5 Ga 2.76-3.02, 4 Ag 2.78-2.79
Ga  0.6555  0.9121  0.6555  2 Ga 2.76, 4 Ag 2.79-2.93, 1 Sn 2.86
Ag  0.6821  0.3014  0.3014  8 Ga 2.78-2.93, 2 Ag 2.97
Ag  0.3014  0.3014  0.6821  8 Ga 2.78-2.93, 2 Ag 2.97
Ag  0.3014  0.6821  0.3014  8 Ga 2.78-2.93, 2 Ag 2.97
Ag  0.6986  0.6986  0.3179  8 Ga 2.78-2.93, 2 Ag 2.97
Ag  0.3179  0.6986  0.6986  8 Ga 2.78-2.93, 2 Ag 2.97
Ag  0.6986  0.3179  0.6986  8 Ga 2.78-2.93, 2 Ag 2.97
Sn  0.0000  0.0000  0.0000  6 Ga 2.86



# 7
A relaxed structure of Ga2Ag8Sn, computed with GGA-PBE.

Calculated values
- energy above the lowest structure with this stoichiometry (eV/atom) = 0.148
- formation energy (eV per formula unit) = 1.83
- size of the total moment (μB per atom) = 0.00
- energy (eV per atom) = -2.822
- symmetry = C2/m

Lattice parameters (Å, degrees): 4.8427 7.0885 7.0885 84.04 78.72 78.72
Closest atoms and distances in Å follow each position.
Fractional coordinates of all 11 atoms:
Ga  0.4352  0.1668  0.1668  5 Ag 2.65-2.77, 1 Sn 2.83
Ga  0.5648  0.8332  0.8332  5 Ag 2.65-2.77, 1 Sn 2.83
Ag  0.7855  0.1556  0.6636  3 Ag 2.76-2.92, 1 Ga 2.77, 1 Sn 2.82
Ag  0.2145  0.3364  0.8444  3 Ag 2.76-2.92, 1 Ga 2.77, 1 Sn 2.82
Ag  0.8770  0.2780  0.2780  2 Ga 2.65-2.70, 4 Ag 2.76-2.87, 1 Sn 2.83
Ag  0.1230  0.7220  0.7220  2 Ga 2.65-2.70, 4 Ag 2.76-2.87, 1 Sn 2.83
Ag  0.7855  0.6636  0.1556  3 Ag 2.76-2.92, 1 Ga 2.77, 1 Sn 2.82
Ag  0.2145  0.8444  0.3364  3 Ag 2.76-2.92, 1 Ga 2.77, 1 Sn 2.82
Ag  0.2915  0.4295  0.4295  1 Ga 2.67, 7 Ag 2.80-2.97
Ag  0.7085  0.5705  0.5705  1 Ga 2.67, 7 Ag 2.80-2.97
Sn  0.0000  0.0000  0.0000  6 Ag 2.82-2.83, 4 Ga 2.83-3.08



# 8
A relaxed structure of Ga4AgSn, computed with GGA-PBE.

Calculated values
- energy above the lowest structure with this stoichiometry (eV/atom) = 0.062
- formation energy (eV per formula unit) = 0.75
- size of the total moment (μB per atom) = 0.00
- energy (eV per atom) = -3.035
- symmetry = F-43m

Lattice parameters (Å, degrees): 5.5995 5.5995 5.5995 60.00 60.00 60.00
Closest atoms and distances in Å follow each position.
Fractional coordinates of all 6 atoms:
Ga  0.6261  0.6261  0.1217  6 Ga 2.78-2.82
Ga  0.6261  0.1217  0.6261  6 Ga 2.78-2.82
Ga  0.6261  0.6261  0.6261  6 Ga 2.78-2.82
Ga  0.1217  0.6261  0.6261  6 Ga 2.78-2.82
Sn  0.2500  0.2500  0.2500  12 Ga 3.29, 4 Ag 3.43
Ag  0.0000  0.0000  0.0000  12 Ga 3.28, 4 Sn 3.43



# 9
A relaxed structure of Ga4Ag15Sn, computed with GGA-PBE.

Calculated values
- formation energy (eV per formula unit) = 0.21
- size of the total moment (μB per atom) = 0.00
- energy (eV per atom) = -2.933
- symmetry = P4/mmm

Lattice parameters (Å, degrees): 4.1766 4.1766 20.5622 90.00 90.00 90.00
Closest atoms and distances in Å follow each position.
Fractional coordinates of all 20 atoms:
Ga  0.0000  0.0000  0.2041  12 Ag 2.89-2.95
Ga  0.0000  0.0000  0.4013  12 Ag 2.90-2.95
Ga  0.0000  0.0000  0.5987  12 Ag 2.90-2.95
Ga  0.0000  0.0000  0.7959  12 Ag 2.89-2.95
Ag  0.5000  0.5000  0.0000  4 Sn 2.95, 8 Ag 3.03
Ag  0.5000  0.5000  0.2054  8 Ag 2.90-2.91, 4 Ga 2.95
Ag  0.5000  0.5000  0.4016  8 Ag 2.91, 4 Ga 2.95
Ag  0.5000  0.5000  0.5984  8 Ag 2.91, 4 Ga 2.95
Ag  0.5000  0.5000  0.7946  8 Ag 2.90-2.91, 4 Ga 2.95
Ag  0.5000  0.0000  0.1067  2 Ga 2.89, 8 Ag 2.91-3.03, 2 Sn 3.03
Ag  0.5000  0.0000  0.3034  4 Ga 2.90-2.92, 8 Ag 2.90-2.95
Ag  0.5000  0.0000  0.5000  8 Ag 2.91-2.95, 4 Ga 2.91
Ag  0.5000  0.0000  0.6966  4 Ga 2.90-2.92, 8 Ag 2.90-2.95
Ag  0.5000  0.0000  0.8933  2 Ga 2.89, 8 Ag 2.91-3.03, 2 Sn 3.03
Ag  0.0000  0.5000  0.1067  2 Ga 2.89, 8 Ag 2.91-3.03, 2 Sn 3.03
Ag  0.0000  0.5000  0.3034  4 Ga 2.90-2.92, 8 Ag 2.90-2.95
Ag  0.0000  0.5000  0.5000  8 Ag 2.91-2.95, 4 Ga 2.91
Ag  0.0000  0.5000  0.6966  4 Ga 2.90-2.92, 8 Ag 2.90-2.95
Ag  0.0000  0.5000  0.8933  2 Ga 2.89, 8 Ag 2.91-3.03, 2 Sn 3.03
Sn  0.0000  0.0000  0.0000  12 Ag 2.95-3.03



# 10
A relaxed structure of GaAg12Sn3, computed with GGA-PBE.

Calculated values
- formation energy (eV per formula unit) = 0.22
- size of the total moment (μB per atom) = 0.00
- energy (eV per atom) = -3.064
- symmetry = P4/mmm

Lattice parameters (Å, degrees): 4.3244 4.3244 16.2117 90.00 90.00 90.00
Closest atoms and distances in Å follow each position.
Fractional coordinates of all 16 atoms:
Ga  0.0000  0.0000  0.0000  12 Ag 2.87-3.06
Ag  0.5000  0.5000  0.0000  8 Ag 2.87, 4 Ga 3.06
Ag  0.5000  0.5000  0.2438  8 Ag 2.99-3.00, 4 Sn 3.06
Ag  0.5000  0.5000  0.5000  8 Ag 3.00, 4 Sn 3.06
Ag  0.5000  0.5000  0.7562  8 Ag 2.99-3.00, 4 Sn 3.06
Ag  0.5000  0.0000  0.1169  2 Ga 2.87, 8 Ag 2.87-3.06, 2 Sn 3.00
Ag  0.5000  0.0000  0.3721  4 Sn 2.99-3.00, 8 Ag 3.00-3.06
Ag  0.5000  0.0000  0.6279  4 Sn 2.99-3.00, 8 Ag 3.00-3.06
Ag  0.5000  0.0000  0.8831  2 Ga 2.87, 8 Ag 2.87-3.06, 2 Sn 3.00
Ag  0.0000  0.5000  0.1169  2 Ga 2.87, 8 Ag 2.87-3.06, 2 Sn 3.00
Ag  0.0000  0.5000  0.3721  4 Sn 2.99-3.00, 8 Ag 3.00-3.06
Ag  0.0000  0.5000  0.6279  4 Sn 2.99-3.00, 8 Ag 3.00-3.06
Ag  0.0000  0.5000  0.8831  2 Ga 2.87, 8 Ag 2.87-3.06, 2 Sn 3.00
Sn  0.0000  0.0000  0.2450  12 Ag 2.99-3.06
Sn  0.0000  0.0000  0.5000  12 Ag 3.00-3.06
Sn  0.0000  0.0000  0.7550  12 Ag 2.99-3.06



# 11
A relaxed structure of Ga2Ag3Sn2, computed with GGA-PBE.

Calculated values
- formation energy (eV per formula unit) = 0.44
- size of the total moment (μB per atom) = 0.00
- energy (eV per atom) = -3.168
- symmetry = P-1

Lattice parameters (Å, degrees): 4.8884 5.3303 6.6031 103.42 67.58 104.31
Closest atoms and distances in Å follow each position.
Fractional coordinates of all 7 atoms:
Ga  0.8970  0.7580  0.6112  4 Ag 2.76-2.81, 2 Sn 2.95-2.98, 2 Ga 3.02-3.03
Ga  0.1030  0.2420  0.3888  4 Ag 2.76-2.81, 2 Sn 2.95-2.98, 2 Ga 3.02-3.03
Ag  0.0000  0.0000  0.0000  2 Ga 2.76, 2 Ag 2.92, 4 Sn 2.93-3.05
Ag  0.7147  0.4444  0.2711  3 Ga 2.77-2.81, 2 Ag 2.92-2.97, 3 Sn 2.98-3.10
Ag  0.2853  0.5556  0.7289  3 Ga 2.77-2.81, 2 Ag 2.92-2.97, 3 Sn 2.98-3.10
Sn  0.6358  0.2410  0.8332  5 Ag 2.93-3.10, 3 Ga 2.95-3.18
Sn  0.3642  0.7590  0.1668  5 Ag 2.93-3.10, 3 Ga 2.95-3.18



# 12
A relaxed structure of GaAg3Sn, computed with GGA-PBE.

Calculated values
- energy above the lowest structure with this stoichiometry (eV/atom) = 0.449
- formation energy (eV per formula unit) = 2.39
- size of the total moment (μB per atom) = 0.00
- energy (eV per atom) = -2.639
- symmetry = Pm-3m

Lattice parameters (Å, degrees): 5.2412 5.2412 5.2412 90.00 90.00 90.00
Closest atoms and distances in Å follow each position.
Fractional coordinates of all 5 atoms:
Ga  0.5000  0.5000  0.5000  12 Ag 3.71
Sn  0.0000  0.0000  0.0000  6 Ag 2.62
Ag  0.0000  0.5000  0.0000  2 Sn 2.62
Ag  0.0000  0.0000  0.5000  2 Sn 2.62
Ag  0.5000  0.0000  0.0000  2 Sn 2.62